Computed, not measured: a relaxed LiScZnCo crystal at the PBE level of DFT.

spin magnetization: 0.00 μB/f.u.
calculated total energy: -4.303 eV per atom
DOS(E_F): 7.918 states/eV per cell
formation energy: -0.15 eV/atom

```
LiScZnCo
1.0
6.1386 0.0000 0.0000
0.0000 6.1386 0.0000
0.0000 0.0000 6.1386
Li Sc Zn Co
4 4 4 4
Direct
0.0000 0.0000 0.0000
0.0000 0.5000 0.5000
0.5000 0.0000 0.5000
0.5000 0.5000 0.0000
0.2500 0.2500 0.2500
0.2500 0.7500 0.7500
0.7500 0.2500 0.7500
0.7500 0.7500 0.2500
0.2500 0.2500 0.7500
0.2500 0.7500 0.2500
0.7500 0.2500 0.2500
0.7500 0.7500 0.7500
0.0000 0.0000 0.5000
0.0000 0.5000 0.0000
0.5000 0.0000 0.0000
0.5000 0.5000 0.5000
```